This record from the Alexandria database describes Pm2SnGe6 after structural relaxation. The functional is PBE.

```
Pm2SnGe6
1.0
5.8297 -5.3399 0.0000
5.8297 5.3399 0.0000
-1.3103 0.0000 3.7641
Pm Sn Ge
2 1 6
Cartesian
0.0000 0.0000 0.0000
6.6992 0.0000 2.4947
3.1259 0.0000 1.2585
4.8981 2.2460 1.9007
7.0550 2.6456 0.5408
4.8981 -2.2460 1.9007
9.1294 1.3275 1.2184
7.0550 -2.6456 0.5408
9.1294 -1.3275 1.2184
```

Computed properties:
As for the total energy: -4.76 eV/atom. Its formation energy is -186 meV/atom. The density of states at the Fermi level is 4.42 states/eV/cell.

=====

This record from the Alexandria database describes YTmBi2O6 after structural relaxation. The functional is PBE.

```
YTmBi2O6
1.0
2.9989 1.7314 5.0696
-2.9989 1.7314 5.0696
0.0000 -3.4628 5.0696
Y Tm Bi O
1 1 2 6
Cartesian
0.0000 0.0000 0.0000
0.0000 0.0000 7.5772
0.0000 0.0000 4.3435
0.0000 0.0000 11.9571
-1.6507 0.1829 5.9664
-1.3212 -1.5202 8.4842
0.6669 -1.5210 5.9664
-0.6559 1.9043 8.4842
0.9838 1.3381 5.9664
1.9771 -0.3841 8.4842
```

Computed properties:
As for the total energy: -7.23 eV/atom. As for the formation energy from raw total energies: -2.39 eV per atom. The density of states at the Fermi level is 0.00 states/eV/cell.

=====

This record from the Alexandria database describes Dy4TlCo after structural relaxation. The functional is PBE.

```
Dy4TlCo
1.0
4.3877 -6.3392 0.0000
4.3877 6.3392 0.0000
-1.7519 0.0000 5.7876
Dy Tl Co
8 2 2
Cartesian
1.7710 4.2829 5.5288
1.4081 1.0382 3.5021
4.3765 4.2829 3.1525
2.2841 -1.0382 0.6083
4.7395 1.0382 5.1793
2.6470 -4.2829 2.6350
5.6154 -1.0382 2.2855
5.2525 -4.2829 0.2588
3.9497 1.5734 1.4469
3.0738 -1.5734 4.3407
3.9497 -6.3386 1.4469
3.0738 6.3386 4.3407
```

Computed properties:
As for the total energy: -4.87 eV/atom. Its formation energy is -223 meV/atom. The density of states at the Fermi level is 10.96 states/eV/cell.

=====

This record from the Alexandria database describes ZrAlAgRu after structural relaxation. The functional is PBE.

```
ZrAlAgRu
1.0
0.0000 3.2377 3.2377
3.2377 0.0000 3.2377
3.2377 3.2377 0.0000
Zr Al Ag Ru
1 1 1 1
Cartesian
0.0000 0.0000 0.0000
3.2377 3.2377 3.2377
4.8566 4.8566 4.8566
1.6189 1.6189 1.6189
```

Computed properties:
As for the total energy: -6.41 eV/atom. Its formation energy is -310 meV/atom. The density of states at the Fermi level is 2.27 states/eV/cell.

=====

This record from the Alexandria database describes Li3IrPt after structural relaxation. The functional is PBE.

```
Li3IrPt
1.0
4.4829 0.0000 0.0000
0.0000 4.4829 0.0000
0.0000 0.0000 4.4829
Li Ir Pt
3 1 1
Cartesian
0.0000 0.0000 2.2415
0.0000 2.2415 0.0000
2.2415 0.0000 0.0000
2.2415 2.2415 2.2415
0.0000 0.0000 0.0000
```

Computed properties:
As for the total energy: -3.46 eV/atom. Its formation energy is 669 meV/atom. The density of states at the Fermi level is 9.14 states/eV/cell.

=====

This record from the Alexandria database describes Dy2TmCd2 after structural relaxation. The functional is PBE.

```
Dy2TmCd2
1.0
3.7048 0.0000 0.0000
0.0000 5.2954 0.0000
-1.8609 0.0000 13.6924
Dy Tm Cd
4 2 4
Cartesian
-0.0006 1.3238 1.2386
-0.0058 1.3238 6.4623
1.8497 3.9715 7.2301
1.8444 3.9715 12.4538
-0.0018 3.9715 4.0927
1.8457 1.3238 9.5997
-0.0060 3.9715 9.8424
-0.0072 1.3238 12.2331
1.8511 3.9715 1.4593
1.8499 1.3238 3.8500
```

Computed properties:
As for the total energy: -3.35 eV/atom. Its formation energy is -253 meV/atom. The density of states at the Fermi level is 8.91 states/eV/cell.

=====

This record from the Alexandria database describes BiHPd3Pb after structural relaxation. The functional is PBE.

```
BiHPd3Pb
1.0
3.0588 -6.6261 0.0000
3.0588 6.6261 0.0000
-2.4855 0.0000 5.2018
Bi H Pd Pb
2 2 6 2
Cartesian
1.1947 3.3616 3.9014
2.4374 -3.3616 1.3005
2.4374 0.4711 1.3005
1.1947 -0.4711 3.9014
0.5578 0.6832 2.5602
2.4374 2.3780 1.3005
-0.6849 -0.6832 5.1611
4.3170 0.6832 0.0408
1.1947 -2.3780 3.9014
3.0743 -0.6832 2.6417
2.4374 5.1655 1.3005
1.1947 -5.1655 3.9014
```

Computed properties:
As for the total energy: -4.55 eV/atom. The density of states at the Fermi level is 4.01 states/eV/cell.

=====

This record from the Alexandria database describes BPS2Cl after structural relaxation. The functional is PBE.

```
BPS2Cl
1.0
4.4926 0.0000 0.0000
0.0000 4.4926 0.0000
0.0000 0.0000 4.8812
B P S Cl
1 1 2 1
Cartesian
0.0000 0.0000 0.0000
2.2463 2.2463 2.4406
0.0000 2.2463 2.4406
2.2463 0.0000 2.4406
2.2463 2.2463 0.0000
```

Computed properties:
As for the total energy: -3.32 eV/atom. As for the formation energy from raw total energies: 1.12 eV per atom. The density of states at the Fermi level is 0.95 states/eV/cell.

=====

This record from the Alexandria database describes TaInSn after structural relaxation. The functional is PBE.

```
TaInSn
1.0
2.8914 -6.3941 0.0000
2.8914 6.3941 0.0000
0.0000 0.0000 7.5178
Ta In Sn
4 4 4
Cartesian
2.8914 5.1590 6.8627
2.8914 1.2351 3.1038
2.8914 -1.2351 4.4140
2.8914 -5.1590 0.6551
1.4457 0.9845 5.6384
1.4457 -0.9845 1.8795
4.3370 0.9845 5.6384
4.3370 -0.9845 1.8795
2.8914 3.9792 4.2682
2.8914 2.4149 0.5093
2.8914 -2.4149 7.0085
2.8914 -3.9792 3.2496
```

Computed properties:
As for the total energy: -5.93 eV/atom. Its formation energy is 269 meV/atom. The density of states at the Fermi level is 7.04 states/eV/cell.

=====

This record from the Alexandria database describes PmPr5Ho2 after structural relaxation. The functional is PBE.

```
PmPr5Ho2
1.0
7.3989 -6.1195 0.0000
7.3989 6.1195 0.0000
-2.7712 0.0000 6.1740
Pm Pr Ho
2 10 4
Cartesian
5.3205 6.0448 4.6305
6.7061 -6.0448 1.5435
3.8191 2.9414 3.8095
1.5767 0.1306 4.4084
2.9623 -0.1306 1.3214
6.7061 2.8923 1.5435
6.8218 2.9414 5.4515
5.2047 -2.9414 0.7225
5.3205 -2.8923 4.6305
9.0643 0.1306 4.8527
10.4499 -0.1306 1.7656
8.2074 -2.9414 2.3645
3.6994 3.0597 0.0000
2.3138 -3.0597 3.0870
7.3989 0.0000 0.0000
6.0133 0.0000 3.0870
```

Computed properties:
As for the total energy: -4.53 eV/atom. Its formation energy is 196 meV/atom. The density of states at the Fermi level is 24.86 states/eV/cell.

=====

This record from the Alexandria database describes TcHOsAuN after structural relaxation. The functional is PBE.

```
TcHOsAuN
1.0
3.9044 0.0000 0.0000
1.7721 3.8112 0.0000
1.9307 1.3586 4.6726
Tc H Os Au N
1 1 1 1 1
Cartesian
0.0000 0.0000 0.0000
1.0779 1.7323 0.0932
5.7329 3.8367 3.7663
2.7926 1.9087 1.9027
5.5549 3.8060 1.8983
```

Computed properties:
As for the total energy: -6.71 eV/atom. The density of states at the Fermi level is 2.46 states/eV/cell.

=====

This record from the Alexandria database describes BeTeP4 after structural relaxation. The functional is PBE.

```
BeTeP4
1.0
0.0000 4.0754 4.0754
4.0754 0.0000 4.0754
4.0754 4.0754 0.0000
Be Te P
1 1 4
Cartesian
0.0000 0.0000 0.0000
2.0377 2.0377 2.0377
5.3266 2.8242 2.8242
2.8242 5.3266 2.8242
2.8242 2.8242 5.3266
5.3266 5.3266 5.3266
```

Computed properties:
As for the total energy: -3.92 eV/atom. As for the formation energy from raw total energies: 0.83 eV per atom. The density of states at the Fermi level is 4.85 states/eV/cell.

=====

This record from the Alexandria database describes Zr2Ni2P3 after structural relaxation. The functional is PBE.

```
Zr2Ni2P3
1.0
6.7481 -1.8404 0.0000
6.7481 1.8404 0.0000
-5.8615 0.0000 8.5948
Zr Ni P
4 4 6
Cartesian
-1.2507 0.0000 3.8584
-1.7553 0.0000 7.2761
9.3899 0.0000 1.3187
8.8853 0.0000 4.7364
0.2668 0.0000 1.4094
4.9967 0.0000 1.6053
2.6379 0.0000 6.9895
7.3677 0.0000 7.1854
-4.1933 0.0000 8.2809
0.5192 0.0000 5.9002
3.3781 0.0000 3.1424
4.2565 0.0000 5.4523
7.1154 0.0000 2.6946
11.8279 0.0000 0.3138
```

Computed properties:
As for the total energy: -7.45 eV/atom. Its formation energy is -1042 meV/atom. The density of states at the Fermi level is 5.65 states/eV/cell.

=====

This record from the Alexandria database describes LiPu2Si3Pt12 after structural relaxation. The functional is PBE.

```
LiPu2Si3Pt12
1.0
4.1006 2.3675 5.8690
-4.1006 2.3675 5.8690
0.0000 -4.7350 5.8690
Li Pu Si Pt
1 2 3 12
Cartesian
0.0000 0.0000 0.0000
0.0000 0.0000 6.7581
0.0000 0.0000 10.8490
-4.1006 0.0000 8.8036
-2.0503 1.1837 2.9345
2.0503 1.1838 2.9345
-2.1844 -1.2612 8.1446
0.0000 -2.3401 5.2629
-2.0266 1.1701 5.2629
0.0000 -2.5223 9.4625
-2.1844 1.2612 9.4625
-2.0266 -1.1701 12.3443
2.0266 1.1701 5.2629
2.1844 -1.2612 8.1446
0.0000 2.5223 8.1446
2.0266 -1.1701 12.3443
0.0000 2.3402 12.3443
2.1844 1.2612 9.4625
```

Computed properties:
As for the total energy: -7.06 eV/atom. As for the formation energy from raw total energies: -0.43 eV per atom. The density of states at the Fermi level is 30.60 states/eV/cell.

=====

This record from the Alexandria database describes Zn2CrTe after structural relaxation. The functional is PBE.

```
Zn2CrTe
1.0
2.7135 -5.1589 0.0000
2.7135 5.1589 0.0000
-2.6860 0.0000 2.8490
Zn Cr Te
2 1 1
Cartesian
1.3568 2.5794 0.0000
1.3568 -2.5794 0.0000
0.0000 0.0000 0.0000
2.7135 0.0000 0.0000
```

Computed properties:
As for the total energy: -3.60 eV/atom. As for the formation energy from raw total energies: 0.22 eV per atom. The density of states at the Fermi level is 1.33 states/eV/cell.

=====

This record from the Alexandria database describes TmMgPbAu after structural relaxation. The functional is PBE.

```
TmMgPbAu
1.0
0.0000 3.5894 3.5894
3.5894 0.0000 3.5894
3.5894 3.5894 0.0000
Tm Mg Pb Au
1 1 1 1
Cartesian
0.0000 0.0000 0.0000
3.5894 3.5894 3.5894
5.3841 5.3841 5.3841
1.7947 1.7947 1.7947
```

Computed properties:
As for the total energy: -3.76 eV/atom. Its formation energy is -496 meV/atom. The density of states at the Fermi level is 0.94 states/eV/cell.

=====

This record from the Alexandria database describes SrAg3Cl after structural relaxation. The functional is PBE.

```
SrAg3Cl
1.0
5.9536 0.0000 0.0000
0.0000 5.9536 0.0000
0.0000 0.0000 5.9536
Sr Ag Cl
1 3 1
Cartesian
0.0000 0.0000 0.0000
0.0000 0.0000 2.9768
0.0000 2.9768 0.0000
2.9768 0.0000 0.0000
2.9768 2.9768 2.9768
```

Computed properties:
As for the total energy: -1.63 eV/atom. As for the formation energy from raw total energies: 0.79 eV per atom. The density of states at the Fermi level is 5.26 states/eV/cell.

=====

This record from the Alexandria database describes AsBrCl2 after structural relaxation. The functional is PBE.

```
AsBrCl2
1.0
1.9811 1.1438 7.7170
-1.9811 1.1438 7.7170
0.0000 -2.2876 7.7170
As Br Cl
1 1 2
Cartesian
0.0000 0.0000 0.0000
0.0000 0.0000 11.5755
0.0000 0.0000 6.4184
0.0000 0.0000 16.7326
```

Computed properties:
As for the total energy: -2.47 eV/atom. As for the formation energy from raw total energies: 0.03 eV per atom. The density of states at the Fermi level is 2.91 states/eV/cell.

=====

This record from the Alexandria database describes K2TlPt3 after structural relaxation. The functional is PBE.

```
K2TlPt3
1.0
4.9351 -2.8462 0.0000
4.9351 2.8462 0.0000
-3.3092 0.0000 4.7505
K Tl Pt
2 1 3
Cartesian
-0.0056 0.0000 1.7018
6.5667 0.0000 3.0487
3.2805 0.0000 2.3752
2.4676 1.4231 0.0000
2.4676 -1.4231 0.0000
4.9351 0.0000 0.0000
```

Computed properties:
As for the total energy: -3.95 eV/atom. Its formation energy is -167 meV/atom. The density of states at the Fermi level is 3.08 states/eV/cell.

=====

This record from the Alexandria database describes LiTe after structural relaxation. The functional is PBE.

```
LiTe
1.0
3.3575 0.0000 0.0000
-1.6788 2.9077 0.0000
0.0000 0.0000 11.0627
Li Te
2 2
Cartesian
0.0000 1.9385 1.3996
1.6788 0.9692 9.6630
0.0000 1.9385 7.6248
1.6788 0.9692 3.4379
```

Computed properties:
As for the total energy: -2.78 eV/atom. As for the formation energy from raw total energies: -0.25 eV per atom. The density of states at the Fermi level is 2.03 states/eV/cell.

=====

This record from the Alexandria database describes PSeBr2 after structural relaxation. The functional is PBE.

```
PSeBr2
1.0
0.0000 3.5034 3.5034
3.5034 0.0000 3.5034
3.5034 3.5034 0.0000
P Se Br
1 1 2
Cartesian
0.0000 0.0000 0.0000
1.7517 1.7517 1.7517
3.5034 3.5034 3.5034
5.2550 5.2550 5.2550
```

Computed properties:
As for the total energy: -2.29 eV/atom. As for the formation energy from raw total energies: 0.77 eV per atom. The density of states at the Fermi level is 2.24 states/eV/cell.

=====

This record from the Alexandria database describes Th2Ga3Pt5 after structural relaxation. The functional is PBE.

```
Th2Ga3Pt5
1.0
2.1016 -12.6958 0.0000
2.1016 12.6958 0.0000
0.0000 0.0000 7.2099
Th Ga Pt
4 6 10
Cartesian
2.1016 12.1253 3.6050
2.1016 4.4989 3.0796
2.1016 -4.4989 6.6846
2.1016 -12.1253 0.0000
2.1016 9.4965 1.9633
2.1016 5.4945 6.4083
2.1016 1.3101 2.3766
2.1016 -1.3101 5.9816
2.1016 -5.4945 2.8033
2.1016 -9.4965 5.5682
2.1016 10.0836 5.6555
2.1016 7.6041 4.4372
2.1016 7.0360 1.3078
2.1016 2.9861 0.0883
2.1016 1.2543 5.0312
2.1016 -1.2543 1.4262
2.1016 -2.9861 3.6933
2.1016 -7.0360 4.9128
2.1016 -7.6041 0.8322
2.1016 -10.0836 2.0506
```

Computed properties:
As for the total energy: -6.36 eV/atom. Its formation energy is -946 meV/atom. The density of states at the Fermi level is 11.09 states/eV/cell.

=====

This record from the Alexandria database describes MgOsRh3 after structural relaxation. The functional is PBE.

```
MgOsRh3
1.0
4.7184 0.0000 0.0000
0.0000 4.7184 0.0000
0.0000 0.0000 4.7184
Mg Os Rh
1 1 3
Cartesian
0.0000 0.0000 0.0000
2.3592 2.3592 2.3592
0.0000 2.3592 2.3592
2.3592 0.0000 2.3592
2.3592 2.3592 0.0000
```

Computed properties:
As for the total energy: -6.02 eV/atom. Its formation energy is 957 meV/atom. The density of states at the Fermi level is 4.98 states/eV/cell.

=====

This record from the Alexandria database describes HoScBeCd after structural relaxation. The functional is PBE.

```
HoScBeCd
1.0
0.0000 3.4869 3.4869
3.4869 0.0000 3.4869
3.4869 3.4869 0.0000
Ho Sc Be Cd
1 1 1 1
Cartesian
0.0000 0.0000 0.0000
3.4869 3.4869 3.4869
1.7435 1.7435 1.7435
5.2304 5.2304 5.2304
```

Computed properties:
As for the total energy: -3.94 eV/atom. Its formation energy is -50 meV/atom. The density of states at the Fermi level is 3.39 states/eV/cell.